First-principles (PBE) data for a geometry-optimized Ac3As2N structure, as listed in the Alexandria database.

abc: 13.7136 6.4141 8.5131
angles: 90.00 107.96 90.00
Space group C2/c (No. 15)
One atom of each set of equivalent atoms:
Ac (0.0000, 0.0525, 0.2500)
Ac (0.1465, 0.4975, 0.5760)
As (0.1738, 0.0059, 0.0855)
N (0.0000, 0.4349, 0.2500)

Computed properties:
- DOS(E_F): 2.2 states/eV/cell
- Crystal system: monoclinic
- Formation energy (no corrections): -1234 meV per atom
- Distance to the lowest polymorph of the same formula: 0.000 eV/atom
- E: -6.226 eV per atom

---

First-principles (PBE) data for a geometry-optimized Tb2TlCo structure, as listed in the Alexandria database.

abc: 5.0714 5.0714 3.7028
angles: 90.00 90.00 90.00
Space group P4/mmm (No. 123)
One atom of each set of equivalent atoms:
Tb (0.0000, 0.5000, 0.0000)
Tl (0.0000, 0.0000, 0.5000)
Co (0.5000, 0.5000, 0.5000)

Computed properties:
- DOS(E_F): 2.5 states/eV/cell
- Crystal system: tetragonal
- E_form: -0.103 eV per atom
- E: -4.786 eV per atom

---

First-principles (PBE) data for a geometry-optimized Se2Br structure, as listed in the Alexandria database.

abc: 4.1360 4.1360 10.6312
angles: 90.00 90.00 120.00
Space group P6_3/mmc (No. 194)
One atom of each set of equivalent atoms:
Se (0.3333, 0.6667, 0.0524)
Br (0.0000, 0.0000, 0.2500)

Computed properties:
- DOS(E_F): 4.3 states/eV/cell
- Crystal system: hexagonal
- Formation energy (no corrections): 165 meV per atom
- Distance to the lowest polymorph of the same formula: 0.211 eV/atom
- E: -2.716 eV per atom

---

First-principles (PBE) data for a geometry-optimized NdAgP2O6 structure, as listed in the Alexandria database.

abc: 8.7384 10.8960 8.0104
angles: 90.00 118.39 90.00
Space group C2/c (No. 15)
One atom of each set of equivalent atoms:
Nd (0.0000, 0.0649, 0.2500)
Ag (0.0000, 0.3305, 0.7500)
P (0.2008, 0.1772, 0.7617)
O (0.1066, 0.0932, 0.5864)
O (0.1742, 0.2302, 0.2499)
O (0.2352, 0.4097, 0.0661)

Computed properties:
- DOS(E_F): 0.0 states/eV/cell
- Crystal system: monoclinic
- Formation energy (no corrections): -2086 meV per atom
- E: -6.905 eV per atom

---

First-principles (PBE) data for a geometry-optimized Ba2AgHg structure, as listed in the Alexandria database.

abc: 5.9194 5.9194 4.1272
angles: 90.00 90.00 90.00
Space group P4/mmm (No. 123)
One atom of each set of equivalent atoms:
Ba (0.0000, 0.5000, 0.0000)
Ag (0.0000, 0.0000, 0.5000)
Hg (0.5000, 0.5000, 0.5000)

Computed properties:
- DOS(E_F): 3.6 states/eV/cell
- Crystal system: tetragonal
- E_form: -0.373 eV per atom
- E: -2.123 eV per atom

---

First-principles (PBE) data for a geometry-optimized Be17Mo2 structure, as listed in the Alexandria database.

abc: 7.2954 7.2954 10.5843
angles: 90.00 90.00 120.00
Space group R-3m (No. 166, hexagonal axes)
One atom of each set of equivalent atoms:
Be (0.0000, 0.0000, 0.1000)
Be (0.0000, 0.2992, 0.0000)
Be (0.0000, 0.5000, 0.5000)
Be (0.0069, 0.5034, 0.1536)
Mo (0.0000, 0.0000, 0.3396)

Computed properties:
- DOS(E_F): 17.6 states/eV/cell
- Crystal system: trigonal
- E_form: -0.155 eV per atom
- E: -4.629 eV per atom

---

First-principles (PBE) data for a geometry-optimized Pm2RhCl structure, as listed in the Alexandria database.

abc: 7.0281 4.0562 7.9041
angles: 90.00 107.33 90.00
Space group C2/m (No. 12)
One atom of each set of equivalent atoms:
Pm (0.2353, 0.0000, 0.2044)
Rh (0.0000, 0.5000, 0.0000)
Cl (0.0000, 0.0000, 0.5000)

Computed properties:
- DOS(E_F): 1.9 states/eV/cell
- Crystal system: monoclinic
- Formation energy (no corrections): -1181 meV per atom
- Distance to the lowest polymorph of the same formula: 0.000 eV/atom
- E: -5.855 eV per atom

---

First-principles (PBE) data for a geometry-optimized Li2CoPt structure, as listed in the Alexandria database.

abc: 2.6146 2.6146 7.9272
angles: 90.00 90.00 90.00
Space group P4/mmm (No. 123)
One atom of each set of equivalent atoms:
Li (0.0000, 0.0000, 0.2434)
Co (0.5000, 0.5000, 0.5000)
Pt (0.5000, 0.5000, 0.0000)

Computed properties:
- DOS(E_F): 2.8 states/eV/cell
- Crystal system: tetragonal
- E_form: -0.090 eV per atom
- Distance to the lowest polymorph of the same formula: 0.155 eV/atom
- E: -4.334 eV per atom

---

Look up the E of the seventh one. -5.855 eV per atom